Record 1
A plane-wave DFT calculation with PBE was carried out for a relaxed structure of CdAs2Pd8.

Cell and atoms, written as POSCAR:
```
CdAs2Pd8
1.0
4.5444 -0.1191 -0.1787
-0.9230 6.6511 -0.0659
-0.9230 -2.6225 6.1126
Cd As Pd
1 2 8
Direct
0.5000 0.0000 0.0000 Cd
0.0000 0.3204 0.6796 As
0.0000 0.6796 0.3204 As
0.9065 0.9299 0.6778 Pd
0.9065 0.6778 0.9299 Pd
0.3198 0.6159 0.6159 Pd
0.5000 0.7555 0.2445 Pd
0.5000 0.2445 0.7555 Pd
0.6802 0.3841 0.3841 Pd
0.0935 0.3222 0.0701 Pd
0.0935 0.0701 0.3222 Pd
```

## Properties
* offset from the most stable computed form: 0.003 eV per atom

=====

Record 2
A plane-wave DFT calculation with PBE was carried out for a relaxed structure of PmCdAs2Pd5.

Cell and atoms, written as POSCAR:
```
PmCdAs2Pd5
1.0
-0.3239 3.6906 -2.8522
1.6684 -2.5782 -3.5255
-7.2342 -2.0961 -1.8906
Pm Cd As Pd
1 1 2 5
Direct
0.0000 0.0000 0.5000 Pm
0.0000 0.0000 0.0000 Cd
0.5000 0.5000 0.1627 As
0.5000 0.5000 0.8373 As
0.0000 0.5000 0.2608 Pd
0.5000 0.0000 0.2608 Pd
0.0000 0.5000 0.7392 Pd
0.5000 0.0000 0.7392 Pd
0.5000 0.5000 0.5000 Pd
```

=====

Record 3
A plane-wave DFT calculation with PBE was carried out for a relaxed structure of PmCdAsPd.

Cell and atoms, written as POSCAR:
```
PmCdAsPd
1.0
-3.2010 -3.7417 -0.5347
0.0700 -3.7932 3.1843
-3.6977 -0.5785 3.2443
As Cd Pd Pm
1 1 1 1
Direct
0.7500 0.7500 0.7500 As
0.0000 0.0000 0.0000 Cd
0.2500 0.2500 0.2500 Pd
0.5000 0.5000 0.5000 Pm
```

=====

Record 4
A plane-wave DFT calculation with PBE was carried out for a relaxed structure of Pm2CdAs3Pd4.

Cell and atoms, written as POSCAR:
```
Pm2CdAs3Pd4
1.0
-3.7725 1.6120 -0.8801
-1.7605 -3.7466 0.6840
-1.4063 2.6464 10.8752
Pm Cd As Pd
2 1 3 4
Direct
0.5000 0.0000 0.2259 Pm
0.0000 0.5000 0.7741 Pm
0.5000 0.5000 0.5000 Cd
0.0000 0.0000 0.5000 As
0.5000 0.0000 0.8662 As
0.0000 0.5000 0.1338 As
0.5000 0.5000 0.0000 Pd
0.0000 0.0000 0.0000 Pd
0.5000 0.0000 0.6516 Pd
0.0000 0.5000 0.3484 Pd
```

=====

Record 5
A plane-wave DFT calculation with PBE was carried out for a relaxed structure of PrCd2As2Pd7.

Cell and atoms, written as POSCAR:
```
PrCd2As2Pd7
1.0
4.0342 0.0106 -0.0596
0.0155 4.0342 -0.0596
1.7573 1.7552 14.4102
Pr Cd As Pd
1 2 2 7
Direct
0.0000 0.0000 0.0000 Pr
0.8879 0.8879 0.3996 Cd
0.1121 0.1121 0.6004 Cd
0.5980 0.5980 0.7421 As
0.4020 0.4020 0.2579 As
0.5000 0.5000 0.0000 Pd
0.3741 0.3741 0.4248 Pd
0.6259 0.6259 0.5752 Pd
0.9403 0.4403 0.1572 Pd
0.4403 0.9403 0.1572 Pd
0.5597 0.0597 0.8428 Pd
0.0597 0.5597 0.8428 Pd
```

=====

Record 6
A plane-wave DFT calculation with PBE was carried out for a relaxed structure of Pr2CdAs3Pd4.

Cell and atoms, written as POSCAR:
```
Pr2CdAs3Pd4
1.0
4.2892 0.0000 0.0000
0.0000 4.2892 0.0000
0.0000 0.0000 10.9762
Pr Cd As Pd
2 1 3 4
Direct
0.5000 0.0000 0.2303 Pr
0.0000 0.5000 0.7697 Pr
0.5000 0.5000 0.5000 Cd
0.0000 0.0000 0.5000 As
0.5000 0.0000 0.8681 As
0.0000 0.5000 0.1319 As
0.5000 0.5000 0.0000 Pd
0.0000 0.0000 0.0000 Pd
0.5000 0.0000 0.6467 Pd
0.0000 0.5000 0.3533 Pd
```

=====

no.,calculated formation energy (eV per atom)
1,-0.3221
2,-0.5139
3,-0.5834
4,-0.8033
5,-0.4018
6,-0.8127